Material: Pm2DyTm3Se6
Method: DFT, GGA-PBE
State: relaxed

E_tot: -5.7728 eV/atom
Formation energy (no corrections): -1.74 eV/atom
ρ: 8.21 g cm⁻³
M_tot: 0.000 μB/atom

Cell lengths 4.0483, 8.2639, 9.1799 Å; angles 104.36, 102.74, 90.00 degrees
With the nearest neighbours (Å) after each atom.
Sites, in units of the cell vectors:
Pm1 0.8317 0.6640 0.6634  6 Se 2.94-2.99
Pm2 0.1683 0.3360 0.3366  6 Se 2.94-2.99
Dy1 0.5000 0.0000 0.0000  6 Se 2.89-2.92
Tm1 0.5000 0.5000 0.0000  6 Se 2.81-2.87
Tm2 0.8307 0.1665 0.6614  6 Se 2.82-2.86
Tm3 0.1693 0.8335 0.3386  6 Se 2.82-2.86
Se1 0.3333 0.9281 0.6666  3 Tm 2.83-2.84, 1 Dy 2.89, 2 Pm 2.97
Se2 0.6621 0.5929 0.3241  3 Tm 2.81-2.82, 3 Pm 2.94-2.96
Se3 0.6667 0.0719 0.3334  3 Tm 2.83-2.84, 1 Dy 2.89, 2 Pm 2.97
Se4 0.9958 0.2518 0.9915  3 Tm 2.86-2.87, 2 Dy 2.92, 1 Pm 2.99
Se5 0.0042 0.7482 0.0085  3 Tm 2.86-2.87, 2 Dy 2.92, 1 Pm 2.99
Se6 0.3379 0.4071 0.6759  3 Tm 2.81-2.82, 3 Pm 2.94-2.96